Crystalline CaUNiO6 at its relaxed geometry, computed with PBE with a Hubbard U.

The structure in CIF format:
```
data_CaUNiO6
_cell_length_a 4.985
_cell_length_b 4.985
_cell_length_c 9.686
_cell_angle_alpha 90.00
_cell_angle_beta 90.00
_cell_angle_gamma 90.00
_space_group_name_H-M_alt 'P 42 n m'
_space_group_IT_number 102
loop_
_space_group_symop_operation_xyz
'x,y,z'
'-y+1/2,x+1/2,z+1/2'
'-x,-y,z'
'y+1/2,-x+1/2,z+1/2'
'-x+1/2,y+1/2,z+1/2'
'y,x,z'
'x+1/2,-y+1/2,z+1/2'
'-y,-x,z'
loop_
_atom_site_label
_atom_site_fract_x
_atom_site_fract_y
_atom_site_fract_z
Ca1 0.000 0.000 0.000
U1 0.000 0.000 0.341
Ni1 0.000 0.000 0.673
O1 0.173 0.173 0.514
O2 0.200 0.200 0.816
O3 0.201 0.201 0.194
```

Output
raw total energy = -7.189 eV per atom